(1)
5
Lattice="4.4322 0.0000 0.0000 0.0000 4.4322 0.0000 0.0000 0.0000 4.8111" Properties=species:S:1:pos:R:3 comment="ZnCo2CuHg | Alexandria | GGA-PBE | relaxed" formation_enthalpy_0k_ev_per_atom=1.06 total_energy_ev_per_atom=-2.92 sg="P4/mmm, No. 123" dos_at_fermi_per_ev_atom=1.07 pbc="T T T"
Zn 0.0000 0.0000 0.0000
Co 0.0000 2.2161 2.4055
Co 2.2161 0.0000 2.4055
Cu 2.2161 2.2161 2.4055
Hg 2.2161 2.2161 0.0000

(2)
6
Lattice="3.2167 0.0000 0.0000 0.0000 3.2167 0.0000 0.0000 0.0000 9.6068" Properties=species:S:1:pos:R:3 comment="Hf3Mn2Pt | Alexandria | GGA-PBE | relaxed" formation_enthalpy_0k_ev_per_atom=-0.50 total_energy_ev_per_atom=-9.54 sg="P4/mmm, No. 123" dos_at_fermi_per_ev_atom=0.54 pbc="T T T"
Hf 0.0000 0.0000 0.0000
Hf 0.0000 0.0000 3.0639
Hf 0.0000 0.0000 6.5429
Mn 1.6083 1.6083 1.6224
Mn 1.6083 1.6083 7.9844
Pt 1.6083 1.6083 4.8034

no.,calculated density (Mg/m³)
1,7.86
2,14.04